(1)
PrNd8N6 | GGA-PBE | relaxed

Output
raw formation energy: -1089 meV per atom

Cell and atoms, written as POSCAR:
```
PrNd8N6
1.0
3.175 1.833 9.326
-3.175 1.833 9.326
0.000 -3.666 9.326
Pr Nd N
1 8 6
Direct
0.000 0.000 0.000 Pr
0.102 0.435 0.768 Nd
0.232 0.898 0.565 Nd
0.333 0.333 0.333 Nd
0.435 0.768 0.102 Nd
0.565 0.232 0.898 Nd
0.667 0.667 0.667 Nd
0.768 0.102 0.435 Nd
0.898 0.565 0.232 Nd
0.057 0.722 0.392 N
0.278 0.608 0.943 N
0.392 0.057 0.722 N
0.608 0.943 0.278 N
0.722 0.392 0.057 N
0.943 0.278 0.608 N
```

(2)
Ba3MgPd3 | GGA-PBE | relaxed

Output
energy of formation: -0.519 eV per atom

Cell and atoms, written as POSCAR:
```
Ba3MgPd3
1.0
6.304 -2.277 0.000
6.304 2.277 0.000
-5.926 0.000 14.760
Ba Mg Pd
6 2 6
Direct
0.012 0.012 0.375 Ba
0.099 0.099 0.923 Ba
0.236 0.236 0.229 Ba
0.764 0.764 0.771 Ba
0.901 0.901 0.077 Ba
0.988 0.988 0.625 Ba
0.261 0.261 0.580 Mg
0.739 0.739 0.420 Mg
0.374 0.374 0.460 Pd
0.395 0.395 0.922 Pd
0.442 0.442 0.758 Pd
0.558 0.558 0.242 Pd
0.605 0.605 0.078 Pd
0.626 0.626 0.540 Pd
```

(3)
Mg2CrNi | GGA-PBE | relaxed

Output
energy of formation: 0.288 eV per atom

Cell and atoms, written as POSCAR:
```
Mg2CrNi
1.0
2.715 0.000 0.000
0.000 2.715 0.000
0.000 0.000 7.912
Mg Cr Ni
2 1 1
Direct
0.000 0.000 0.231 Mg
0.000 0.000 0.769 Mg
0.500 0.500 0.500 Cr
0.500 0.500 0.000 Ni
```

(4)
InMo3Au | GGA-PBE | relaxed

Output
energy of formation: 2.019 eV per atom

Cell and atoms, written as POSCAR:
```
InMo3Au
1.0
4.870 0.000 0.000
0.000 4.870 0.000
0.000 0.000 4.870
In Mo Au
1 3 1
Direct
0.000 0.000 0.000 In
0.000 0.500 0.500 Mo
0.500 0.000 0.500 Mo
0.500 0.500 0.000 Mo
0.500 0.500 0.500 Au
```

(5)
SmZnInPd | GGA-PBE | relaxed

Output
energy of formation: -0.580 eV per atom

Cell and atoms, written as POSCAR:
```
SmZnInPd
1.0
0.000 3.447 3.447
3.447 0.000 3.447
3.447 3.447 0.000
Sm Zn In Pd
1 1 1 1
Direct
0.000 0.000 0.000 Sm
0.750 0.750 0.750 Zn
0.500 0.500 0.500 In
0.250 0.250 0.250 Pd
```

(6)
La2In2Ag3 | GGA-PBE | relaxed

Output
energy of formation: -0.175 eV per atom

Cell and atoms, written as POSCAR:
```
La2In2Ag3
1.0
-4.583 4.583 4.583
4.583 -4.583 4.583
4.583 4.583 -4.583
La In Ag
4 4 6
Direct
0.000 0.982 0.500 La
0.500 0.000 0.982 La
0.518 0.518 0.518 La
0.982 0.500 0.000 La
0.000 0.588 0.500 In
0.500 0.000 0.588 In
0.588 0.500 0.000 In
0.912 0.912 0.912 In
0.025 0.250 0.275 Ag
0.225 0.475 0.750 Ag
0.250 0.275 0.025 Ag
0.275 0.025 0.250 Ag
0.475 0.750 0.225 Ag
0.750 0.225 0.475 Ag
```